Record 1
Here is a relaxed structure of BeP2Ir from the Alexandria database. Energies are from PBE.

POSCAR file:
```
BeP2Ir
1.0
3.962 0.007 -0.005
2.458 3.108 -0.005
0.313 0.152 4.580
Be Ir P
1 1 2
Cartesian
1.683 0.817 1.143 Be
5.050 2.451 3.428 Ir
0.557 0.270 4.483 P
3.123 1.516 2.383 P
```

Properties
Total DFT energy (no corrections)   -0.21509 hartree per atom
Theoretical density   7.76 g/cm3
Magnetic moment   0.00 μB per cell

=====

Record 2
Here is a relaxed structure of BeP2Ir from the Alexandria database. Energies are from PBE.

POSCAR file:
```
BeP2Ir
1.0
2.739 -0.003 0.000
-1.396 2.357 0.000
0.000 0.000 9.120
P Be Ir
2 1 1
Cartesian
0.672 1.177 2.865 P
0.000 0.000 8.647 P
0.000 0.000 4.673 Be
0.672 1.177 6.616 Ir
```

Properties
Total DFT energy (no corrections)   -0.20614 hartree per atom
Theoretical density   7.43 g/cm3
Magnetic moment   0.00 μB per cell

=====

Record 3
Here is a relaxed structure of BePIr2 from the Alexandria database. Energies are from PBE.

POSCAR file:
```
BePIr2
1.0
2.742 0.003 0.000
-1.355 2.383 0.000
0.000 0.000 8.148
Ir P Be
2 1 1
Cartesian
0.693 1.193 2.232 Ir
0.000 0.000 7.860 Ir
0.000 0.000 4.188 P
0.693 1.193 6.090 Be
```

Properties
Total DFT energy (no corrections)   -0.23979 hartree per atom
E above lowest polymorph   549 meV/atom
Theoretical density   13.23 g/cm3
Magnetic moment   0.00 μB per cell

=====

- What is the formula in the second record?
  BeP2Ir